# PBE-GGA LiY2Hg, optimized geometry
data_LiY2Hg
_cell_length_a 6.251
_cell_length_b 6.251
_cell_length_c 6.251
_cell_angle_alpha 146.15
_cell_angle_beta 130.98
_cell_angle_gamma 60.90
_space_group_name_H-M_alt 'P 1'
_space_group_IT_number 1
_space_group_name_Hall 'P 1'
loop_
_atom_site_label
_atom_site_type_symbol
_atom_site_fract_x
_atom_site_fract_y
_atom_site_fract_z
Li1 Li 0.000 0.000 0.000
Y1 Y 0.443 0.443 0.000
Y2 Y 0.722 0.222 0.500
Hg1 Hg 0.190 0.690 0.500
# **Energy relative to the elements**: -0.18 eV/atom